Record 1
Below is ScCr2 after structural relaxation, with properties calculated at the PBE-GGA level. Values from VASP.

Structure (Quantum ESPRESSO input):
```
&SYSTEM
  ibrav = 0, nat = 12, ntyp = 2
/
ATOMIC_SPECIES
Cr 52.00 Cr.upf
Sc 44.96 Sc.upf
ATOMIC_POSITIONS angstrom
Cr -5.7265 1.7392 3.1028
Cr -4.0488 4.6780 4.1811
Cr -2.5194 -0.5776 2.9152
Cr -4.8477 6.1662 2.1878
Cr -1.6406 3.8495 2.0002
Cr -0.6338 1.8531 1.5816
Cr -3.3184 0.9107 0.9219
Cr -6.7333 3.7356 3.5213
Sc -2.1357 6.3499 2.6365
Sc -4.5376 3.6448 1.5185
Sc -2.8295 1.9439 3.5845
Sc -5.2315 -0.7612 2.4665
CELL_PARAMETERS angstrom
-5.5696 -0.6345 -0.9944
-0.6102 -1.1825 4.1721
-1.1874 7.4056 1.9253
```

## Properties
Total magnetization (μB per cell): 1.56
Space-group type: Pnma (62)
Energy of formation (eV/atom): 0.307

Record 2
Below is AcSmPt2 after structural relaxation, with properties calculated at the PBE-GGA level. Values from VASP.

Structure (Quantum ESPRESSO input):
```
&SYSTEM
  ibrav = 0, nat = 8, ntyp = 3
/
ATOMIC_SPECIES
Sm 150.36 Sm.upf
Pt 195.08 Pt.upf
Ac 227.00 Ac.upf
ATOMIC_POSITIONS angstrom
Sm 2.1167 -3.7909 -0.3581
Sm -0.5546 -3.6517 -4.6275
Pt 1.9754 -3.0295 -3.2273
Pt 1.4811 -6.6649 -0.1646
Pt 0.0810 -0.7777 -4.8210
Pt -0.4133 -4.4131 -1.7583
Ac -0.2103 -1.1585 -1.6962
Ac 1.7725 -6.2841 -3.2894
CELL_PARAMETERS angstrom
-3.3939 -3.3698 -0.7270
-0.0070 1.3192 -6.0821
4.9631 -5.3921 1.8235
```

## Properties
Total magnetization (μB per cell): 0.00
E above lowest polymorph (eV/f.u.): 0.31
Space-group type: P2_1/m (11)
Energy of formation (eV/atom): -1.074

Record 3
Below is Er3Tm5Sc3 after structural relaxation, with properties calculated at the PBE-GGA level. Values from VASP.

Structure (Quantum ESPRESSO input):
```
&SYSTEM
  ibrav = 0, nat = 11, ntyp = 3
/
ATOMIC_SPECIES
Er 167.26 Er.upf
Sc 44.96 Sc.upf
Tm 168.93 Tm.upf
ATOMIC_POSITIONS angstrom
Er 0.0000 -2.4682 4.2750
Er 0.0000 4.9363 0.0000
Er 0.0000 2.1492 3.7226
Sc 2.7193 -1.7471 3.0261
Sc 2.7193 3.4942 0.0000
Sc 2.7193 2.8703 4.9715
Tm 2.7193 0.0000 5.3317
Tm 2.7193 -3.4340 5.9479
Tm 2.7193 6.8681 0.0000
Tm 2.7193 4.6174 2.6659
Tm 2.7193 1.1834 2.0497
CELL_PARAMETERS angstrom
5.4386 0.0000 0.0000
0.0000 9.2348 0.0000
0.0000 -4.6174 7.9976
```

## Properties
Total magnetization (μB per cell): 0.01
Space-group type: P-62m (189)
Energy of formation (eV/atom): 0.794

Record 4
Below is PuAgHgPb after structural relaxation, with properties calculated at the PBE-GGA level. Values from VASP.

Structure (Quantum ESPRESSO input):
```
&SYSTEM
  ibrav = 0, nat = 4, ntyp = 4
/
ATOMIC_SPECIES
Pu 244.00 Pu.upf
Pb 207.20 Pb.upf
Hg 200.59 Hg.upf
Ag 107.87 Ag.upf
ATOMIC_POSITIONS angstrom
Pu 7.7780 4.4906 3.1753
Pb 5.1853 2.9937 2.1169
Hg 0.0000 0.0000 0.0000
Ag 2.5927 1.4969 1.0584
CELL_PARAMETERS angstrom
5.1853 0.0000 0.0000
2.5927 4.4906 0.0000
2.5927 1.4969 4.2338
```

## Properties
Total magnetization (μB per cell): 5.52
Space-group type: F-43m (216)
Energy of formation (eV/atom): -0.048

Record 5
Below is AcCePmGd after structural relaxation, with properties calculated at the PBE-GGA level. Values from VASP.

Structure (Quantum ESPRESSO input):
```
&SYSTEM
  ibrav = 0, nat = 4, ntyp = 4
/
ATOMIC_SPECIES
Ac 227.00 Ac.upf
Ce 140.12 Ce.upf
Gd 157.25 Gd.upf
Pm 145.00 Pm.upf
ATOMIC_POSITIONS angstrom
Ac 8.8239 5.0945 3.6023
Ce 0.0000 0.0000 0.0000
Gd 5.8826 3.3963 2.4016
Pm 2.9413 1.6982 1.2008
CELL_PARAMETERS angstrom
5.8826 0.0000 0.0000
2.9413 5.0945 0.0000
2.9413 1.6982 4.8031
```

## Properties
Total magnetization (μB per cell): 7.66
Space-group type: F-43m (216)
Energy of formation (eV/atom): 0.239

Record 6
Below is Be2TcIr after structural relaxation, with properties calculated at the PBE-GGA level. Values from VASP.

Structure (Quantum ESPRESSO input):
```
&SYSTEM
  ibrav = 0, nat = 4, ntyp = 3
/
ATOMIC_SPECIES
Ir 192.22 Ir.upf
Be 9.01 Be.upf
Tc 98.00 Tc.upf
ATOMIC_POSITIONS angstrom
Ir 1.8287 0.7819 1.1957
Be 0.0000 0.8376 4.7440
Be 0.0000 1.1762 2.4981
Tc 1.8287 2.3458 3.5872
CELL_PARAMETERS angstrom
3.6573 0.0000 0.0000
0.0000 2.6778 -0.0676
0.0000 0.4499 4.8506
```

## Properties
Total magnetization (μB per cell): 0.00
E above lowest polymorph (eV/f.u.): 0.84
Space-group type: P2/m (10)
Energy of formation (eV/atom): -0.131